No. 1
{
  "formula": "SnBiAs2Br",
  "functional": "PBEsol",
  "state": "relaxed",
  "lattice": [[5.237, 0.000, 0.000], [0.000, 5.237, 0.000], [0.000, 0.000, 5.197]],
  "species": ["Sn", "Bi", "As", "As", "Br"],
  "frac_coords": [[0.000, 0.000, 0.000], [0.500, 0.500, 0.500], [0.000, 0.500, 0.000], [0.500, 0.000, 0.000], [0.000, 0.000, 0.500]],
  "sg": "No. 123",
  "formation_energy_uncorrected_ev_per_atom": 0.52,
  "n_ef_per_ev_cell": 3.82
}



No. 2
{
  "formula": "TaP",
  "functional": "PBEsol",
  "state": "relaxed",
  "lattice": [[4.908, 0.000, 0.000], [0.000, 4.908, 0.000], [0.000, 0.000, 4.908]],
  "species": ["Ta", "Ta", "Ta", "Ta", "P", "P", "P", "P"],
  "frac_coords": [[0.110, 0.110, 0.110], [0.390, 0.890, 0.610], [0.610, 0.390, 0.890], [0.890, 0.610, 0.390], [0.094, 0.594, 0.906], [0.406, 0.406, 0.406], [0.594, 0.906, 0.094], [0.906, 0.094, 0.594]],
  "e_form_ev_per_fu": -1.488,
  "sg": "No. 198",
  "n_ef_per_ev_cell": 4.73
}



No. 3
{
  "formula": "V3Zn2O8",
  "functional": "PBEsol",
  "state": "relaxed",
  "lattice": [[2.859, 1.650, 4.894], [-2.859, 1.650, 4.894], [0.000, -3.301, 4.894]],
  "species": ["V", "V", "V", "Zn", "Zn", "O", "O", "O", "O", "O", "O", "O", "O"],
  "frac_coords": [[0.000, 0.500, 0.500], [0.500, 0.000, 0.500], [0.500, 0.500, 0.000], [0.123, 0.123, 0.123], [0.877, 0.877, 0.877], [0.247, 0.247, 0.715], [0.247, 0.715, 0.247], [0.256, 0.256, 0.256], [0.285, 0.753, 0.753], [0.715, 0.247, 0.247], [0.744, 0.744, 0.744], [0.753, 0.285, 0.753], [0.753, 0.753, 0.285]],
  "sg": "No. 166",
  "de_polymorph_ev_per_fu": 0.77,
  "formation_energy_uncorrected_ev_per_atom": -2.02,
  "n_ef_per_ev_cell": 4.38
}



No. 4
{
  "formula": "Sr3Cu3P4O16",
  "functional": "PBEsol",
  "state": "relaxed",
  "lattice": [[9.197, 0.000, 0.000], [0.000, 4.923, 0.000], [-8.475, 0.000, 15.014]],
  "species": ["Sr", "Sr", "Sr", "Sr", "Sr", "Sr", "Cu", "Cu", "Cu", "Cu", "Cu", "Cu", "P", "P", "P", "P", "P", "P", "P", "P", "O", "O", "O", "O", "O", "O", "O", "O", "O", "O", "O", "O", "O", "O", "O", "O", "O", "O", "O", "O", "O", "O", "O", "O", "O", "O", "O", "O", "O", "O", "O", "O"],
  "frac_coords": [[0.000, 0.000, 0.000], [0.000, 0.500, 0.500], [0.306, 0.033, 0.264], [0.306, 0.467, 0.764], [0.694, 0.533, 0.236], [0.694, 0.967, 0.736], [0.208, 0.538, 0.380], [0.208, 0.962, 0.880], [0.500, 0.000, 0.500], [0.500, 0.500, 0.000], [0.792, 0.038, 0.120], [0.792, 0.462, 0.620], [0.035, 0.522, 0.164], [0.035, 0.978, 0.664], [0.439, 0.512, 0.588], [0.439, 0.988, 0.088], [0.561, 0.012, 0.912], [0.561, 0.488, 0.412], [0.965, 0.022, 0.336], [0.965, 0.478, 0.836], [0.022, 0.670, 0.643], [0.022, 0.830, 0.143], [0.097, 0.137, 0.610], [0.097, 0.363, 0.110], [0.136, 0.577, 0.849], [0.136, 0.923, 0.349], [0.178, 0.016, 0.763], [0.178, 0.484, 0.263], [0.269, 0.572, 0.505], [0.269, 0.928, 0.005], [0.424, 0.190, 0.919], [0.424, 0.310, 0.419], [0.438, 0.592, 0.673], [0.438, 0.908, 0.173], [0.491, 0.209, 0.593], [0.491, 0.291, 0.093], [0.509, 0.709, 0.907], [0.509, 0.791, 0.407], [0.562, 0.092, 0.827], [0.562, 0.408, 0.327], [0.576, 0.690, 0.581], [0.576, 0.810, 0.081], [0.731, 0.072, 0.995], [0.731, 0.428, 0.495], [0.822, 0.516, 0.737], [0.822, 0.984, 0.237], [0.864, 0.077, 0.651], [0.864, 0.423, 0.151], [0.903, 0.637, 0.890], [0.903, 0.863, 0.390], [0.978, 0.170, 0.857], [0.978, 0.330, 0.357]],
  "sg": "No. 14",
  "formation_energy_uncorrected_ev_per_atom": -2.21,
  "n_ef_per_ev_cell": 0.53
}



No. 5
{
  "formula": "Zn2CoOs",
  "functional": "PBEsol",
  "state": "relaxed",
  "lattice": [[4.519, 0.000, 0.000], [0.000, 2.602, 0.000], [-1.605, 0.000, 4.293]],
  "species": ["Zn", "Zn", "Co", "Os"],
  "frac_coords": [[0.000, 0.000, 0.000], [0.000, 0.500, 0.500], [0.500, 0.000, 0.500], [0.500, 0.500, 0.000]],
  "e_form_ev_per_fu": 0.560,
  "sg": "No. 10",
  "de_polymorph_ev_per_fu": 0.01,
  "n_ef_per_ev_cell": 3.36
}



No. 6
{
  "formula": "KIr2Cl",
  "functional": "PBEsol",
  "state": "relaxed",
  "lattice": [[2.747, 0.000, 0.000], [0.000, 3.902, 0.000], [0.000, 0.000, 8.047]],
  "species": ["K", "Ir", "Ir", "Cl"],
  "frac_coords": [[0.000, 0.000, 0.000], [0.000, 0.000, 0.572], [0.500, 0.500, 0.670], [0.500, 0.500, 0.220]],
  "sg": "No. 25",
  "de_polymorph_ev_per_fu": 0.00,
  "formation_energy_uncorrected_ev_per_atom": 0.14,
  "n_ef_per_ev_cell": 2.21
}



No. 7
{
  "formula": "Mo2AsW",
  "functional": "PBEsol",
  "state": "relaxed",
  "lattice": [[-1.594, 2.102, 4.457], [1.594, -2.102, 4.457], [1.594, 2.102, -4.457]],
  "species": ["Mo", "Mo", "As", "W"],
  "frac_coords": [[0.246, 0.246, 0.000], [0.754, 0.754, 0.000], [0.000, 0.500, 0.500], [0.500, 0.000, 0.500]],
  "e_form_ev_per_fu": 0.438,
  "sg": "No. 71",
  "n_ef_per_ev_cell": 2.40
}



No. 8
{
  "formula": "CaMgCu2",
  "functional": "PBEsol",
  "state": "relaxed",
  "lattice": [[2.211, -5.374, 0.000], [2.211, 5.374, 0.000], [0.000, 0.000, 6.328]],
  "species": ["Ca", "Ca", "Mg", "Mg", "Cu", "Cu", "Cu", "Cu"],
  "frac_coords": [[0.082, 0.918, 0.750], [0.918, 0.082, 0.250], [0.213, 0.787, 0.250], [0.787, 0.213, 0.750], [0.394, 0.606, 0.564], [0.394, 0.606, 0.936], [0.606, 0.394, 0.064], [0.606, 0.394, 0.436]],
  "e_form_ev_per_fu": -0.102,
  "sg": "No. 63",
  "n_ef_per_ev_cell": 3.44
}